Here is a relaxed structure of ZrTlAgTe2S from OQMD via LeMat-Bulk. Energies are from PBE.

a = 7.970 Å, b = 7.970 Å, c = 10.352 Å
α = 90.00°, β = 90.00°, γ = 149.90°
Fractional positions:
Ag 0.034 0.966 0.250
Ag 0.966 0.034 0.750
S 0.442 0.558 0.250
S 0.558 0.442 0.750
Te 0.137 0.863 0.033
Te 0.137 0.863 0.467
Te 0.863 0.137 0.533
Te 0.863 0.137 0.967
Tl 0.757 0.243 0.250
Tl 0.243 0.757 0.750
Zr 0.500 0.500 0.000
Zr 0.500 0.500 0.500

## Properties
Total magnetization, μB/cell: 0.0
E, eV/atom: -4.65